Density functional theory data (GGA+U) for a relaxed GaHgMoO6 crystal.

## Properties
Magnetic moment (μB per formula unit): 0.00
Raw total energy (eV/atom): -5.56

The structure in POSCAR format:
```
GaHgMoO6
1.0
5.431 0.001 -0.425
2.715 4.445 -0.212
-0.367 0.000 4.833
O Mo Ga Hg
6 1 1 1
Direct
0.014 0.643 0.704 O
0.652 0.363 0.723 O
0.985 0.363 0.277 O
0.582 0.017 0.269 O
0.342 0.643 0.296 O
0.401 0.017 0.731 O
0.346 0.308 0.500 Mo
0.673 0.655 0.500 Ga
0.005 0.991 0.000 Hg
```